# 1
DFT (GGA-PBE) results for an optimized crystal structure of Np.

a = 4.675 Å, b = 4.032 Å, c = 3.396 Å
α = 77.48°, β = 57.35°, γ = 45.16°
Sites, in units of the cell vectors:
Np  0.125  0.125  0.125
Np  0.875  0.875  0.875

Output
**Space-group type**: No. 70
**Total magnetization**: 0.000 Bohr magnetons per cell
**Energy of formation from the pure elements**: 19.2 kJ per mole of atoms

---

# 2
DFT (GGA-PBE) results for an optimized crystal structure of AcPaAl.

a = 9.261 Å, b = 9.261 Å, c = 9.261 Å
α = 159.68°, β = 159.68°, γ = 28.89°
Sites, in units of the cell vectors:
Ac  0.000  0.000  0.000
Pa  0.649  0.649  0.000
Al  0.816  0.816  0.000

Output
**Space-group type**: No. 107
**Total magnetization**: 0.619 Bohr magnetons per cell
**Energy of formation from the pure elements**: 79.6 kJ per mole of atoms

---

# 3
DFT (GGA-PBE) results for an optimized crystal structure of Pr2Y.

a = 9.250 Å, b = 9.250 Å, c = 9.250 Å
α = 22.87°, β = 22.87°, γ = 22.87°
Sites, in units of the cell vectors:
Pr  0.225  0.225  0.225
Pr  0.775  0.775  0.775
Y  0.000  0.000  0.000

Output
**Space-group type**: No. 166
**Total magnetization**: 0.000 Bohr magnetons per cell
**Energy of formation from the pure elements**: 2.0 kJ per mole of atoms

---

# 4
DFT (GGA-PBE) results for an optimized crystal structure of UTiPb2O6.

a = 4.209 Å, b = 4.209 Å, c = 8.367 Å
α = 90.00°, β = 90.00°, γ = 90.00°
Sites, in units of the cell vectors:
U  0.000  0.000  0.000
Ti  0.000  0.000  0.500
Pb  0.500  0.500  0.297
Pb  0.500  0.500  0.703
O  0.000  0.000  0.265
O  0.000  0.000  0.735
O  0.000  0.500  0.000
O  0.000  0.500  0.500
O  0.500  0.000  0.000
O  0.500  0.000  0.500

Output
**E_form (uncorrected)**: -2.27 eV/atom
**Space-group type**: No. 123
**Total magnetization**: 1.482 Bohr magnetons per cell

---

# 5
DFT (GGA-PBE) results for an optimized crystal structure of AlZn4.

a = 4.917 Å, b = 4.917 Å, c = 4.917 Å
α = 90.00°, β = 90.00°, γ = 90.00°
Sites, in units of the cell vectors:
Al  0.000  0.000  0.000
Zn  0.000  0.000  0.500
Zn  0.000  0.500  0.000
Zn  0.500  0.000  0.000
Zn  0.500  0.500  0.500

Output
**Space-group type**: No. 221
**Total magnetization**: 0.000 Bohr magnetons per cell
**Energy of formation from the pure elements**: 47.2 kJ per mole of atoms

---

# 6
DFT (GGA-PBE) results for an optimized crystal structure of NaSn2Hg4.

a = 5.254 Å, b = 5.254 Å, c = 9.018 Å
α = 90.07°, β = 90.07°, γ = 59.97°
Sites, in units of the cell vectors:
Na  0.000  0.000  0.000
Sn  0.333  0.333  0.500
Sn  0.667  0.667  0.500
Hg  0.333  0.333  0.832
Hg  0.334  0.334  0.168
Hg  0.666  0.666  0.832
Hg  0.667  0.667  0.168

Output
**Space-group type**: No. 12
**Total magnetization**: 0.000 Bohr magnetons per cell
**Energy of formation from the pure elements**: -4.0 kJ per mole of atoms

---

# 7
DFT (GGA-PBE) results for an optimized crystal structure of Nd2Zn15Ir2.

a = 6.826 Å, b = 6.826 Å, c = 6.826 Å
α = 82.79°, β = 82.79°, γ = 82.79°
Sites, in units of the cell vectors:
Nd  0.165  0.165  0.165
Nd  0.835  0.835  0.835
Zn  0.000  0.500  0.500
Zn  0.151  0.151  0.650
Zn  0.151  0.650  0.151
Zn  0.219  0.500  0.781
Zn  0.219  0.781  0.500
Zn  0.350  0.849  0.849
Zn  0.500  0.000  0.500
Zn  0.500  0.219  0.781
Zn  0.500  0.500  0.000
Zn  0.500  0.781  0.219
Zn  0.650  0.151  0.151
Zn  0.781  0.219  0.500
Zn  0.781  0.500  0.219
Zn  0.849  0.350  0.849
Zn  0.849  0.849  0.350
Ir  0.393  0.393  0.393
Ir  0.607  0.607  0.607

Output
**Space-group type**: No. 166
**Total magnetization**: 0.000 Bohr magnetons per cell
**Energy of formation from the pure elements**: -25.5 kJ per mole of atoms

---

# 8
DFT (GGA-PBE) results for an optimized crystal structure of SiAsPRh2C.

a = 5.240 Å, b = 3.041 Å, c = 5.951 Å
α = 90.00°, β = 114.55°, γ = 90.00°
Sites, in units of the cell vectors:
Si  0.000  0.000  0.000
As  0.577  0.500  0.295
P  0.301  0.000  0.595
Rh  0.017  0.500  0.679
Rh  0.613  0.500  0.893
C  0.326  0.000  0.301

Output
**E_form (uncorrected)**: -0.28 eV/atom
**Space-group type**: No. 6
**Total magnetization**: 0.000 Bohr magnetons per cell

---

# 9
DFT (GGA-PBE) results for an optimized crystal structure of Dy2YHo2Er.

a = 6.927 Å, b = 16.099 Å, c = 3.466 Å
α = 90.00°, β = 90.00°, γ = 90.00°
Sites, in units of the cell vectors:
Dy  0.249  0.157  0.000
Dy  0.251  0.657  0.500
Dy  0.749  0.343  0.500
Dy  0.751  0.843  0.000
Y  0.000  0.500  0.000
Y  0.500  0.000  0.500
Ho  0.249  0.844  0.000
Ho  0.251  0.344  0.500
Ho  0.749  0.656  0.500
Ho  0.751  0.156  0.000
Er  0.000  0.000  0.500
Er  0.500  0.500  0.000

Output
**Space-group type**: No. 58
**Total magnetization**: 0.110 Bohr magnetons per cell
**Energy of formation from the pure elements**: 15.7 kJ per mole of atoms

---

# 10
DFT (GGA-PBE) results for an optimized crystal structure of CdInHg2Pb5.

a = 10.663 Å, b = 10.663 Å, c = 10.663 Å
α = 137.49°, β = 137.49°, γ = 61.68°
Sites, in units of the cell vectors:
Cd  0.250  0.750  0.500
Cd  0.750  0.250  0.500
In  0.250  0.250  0.000
In  0.750  0.750  0.000
Hg  0.128  0.628  0.756
Hg  0.372  0.128  0.500
Hg  0.628  0.872  0.500
Hg  0.872  0.372  0.244
Pb  0.000  0.000  0.000
Pb  0.085  0.120  0.500
Pb  0.120  0.620  0.035
Pb  0.380  0.415  0.500
Pb  0.415  0.915  0.035
Pb  0.500  0.500  0.000
Pb  0.585  0.085  0.965
Pb  0.620  0.585  0.500
Pb  0.880  0.380  0.965
Pb  0.915  0.880  0.500

Output
**Space-group type**: No. 140
**Total magnetization**: 0.000 Bohr magnetons per cell
**Energy of formation from the pure elements**: 10.0 kJ per mole of atoms

---

# 11
DFT (GGA-PBE) results for an optimized crystal structure of AcTb2Hg2.

a = 10.759 Å, b = 10.759 Å, c = 3.842 Å
α = 90.00°, β = 90.00°, γ = 159.28°
Sites, in units of the cell vectors:
Ac  0.000  0.000  0.000
Tb  0.180  0.820  0.000
Tb  0.820  0.180  0.000
Hg  0.393  0.607  0.500
Hg  0.607  0.393  0.500

Output
**Space-group type**: No. 65
**Total magnetization**: 0.706 Bohr magnetons per cell
**Energy of formation from the pure elements**: -24.4 kJ per mole of atoms

---

# 12
DFT (GGA-PBE) results for an optimized crystal structure of InB2As2.

a = 5.022 Å, b = 5.022 Å, c = 5.022 Å
α = 128.49°, β = 128.49°, γ = 75.84°
Sites, in units of the cell vectors:
In  0.000  0.000  0.000
B  0.388  0.388  0.000
B  0.612  0.612  0.000
As  0.250  0.750  0.500
As  0.750  0.250  0.500

Output
**Space-group type**: No. 139
**Total magnetization**: 0.000 Bohr magnetons per cell
**Energy of formation from the pure elements**: 70.0 kJ per mole of atoms

---

# 13
DFT (GGA-PBE) results for an optimized crystal structure of LaBiH6Rh3.

a = 5.116 Å, b = 5.116 Å, c = 5.116 Å
α = 93.43°, β = 93.43°, γ = 93.43°
Sites, in units of the cell vectors:
La  0.000  0.000  0.000
Bi  0.406  0.406  0.406
H  0.115  0.533  0.917
H  0.518  0.923  0.766
H  0.533  0.917  0.115
H  0.766  0.518  0.923
H  0.917  0.115  0.533
H  0.923  0.766  0.518
Rh  0.448  0.628  0.917
Rh  0.628  0.917  0.448
Rh  0.917  0.448  0.628

Output
**Space-group type**: No. 146
**Total magnetization**: 0.000 Bohr magnetons per cell

---

# 14
DFT (GGA-PBE) results for an optimized crystal structure of NdEr4Tm4.

a = 9.060 Å, b = 9.060 Å, c = 10.742 Å
α = 93.23°, β = 93.23°, γ = 139.95°
Sites, in units of the cell vectors:
Nd  0.223  0.223  0.281
Nd  0.777  0.777  0.719
Er  0.180  0.806  0.333
Er  0.194  0.820  0.667
Er  0.225  0.225  0.613
Er  0.227  0.227  0.946
Er  0.773  0.773  0.054
Er  0.775  0.775  0.387
Er  0.806  0.180  0.333
Er  0.820  0.194  0.667
Tm  0.186  0.814  0.000
Tm  0.357  0.641  0.164
Tm  0.357  0.643  0.500
Tm  0.359  0.643  0.836
Tm  0.641  0.357  0.164
Tm  0.643  0.357  0.500
Tm  0.643  0.359  0.836
Tm  0.814  0.186  0.000

Output
**Space-group type**: No. 12
**Total magnetization**: 0.001 Bohr magnetons per cell
**Energy of formation from the pure elements**: 8.9 kJ per mole of atoms

---

# 15
DFT (GGA-PBE) results for an optimized crystal structure of MgZrInRh.

a = 4.754 Å, b = 4.754 Å, c = 4.754 Å
α = 60.00°, β = 60.00°, γ = 60.00°
Sites, in units of the cell vectors:
Mg  0.000  0.000  0.000
Zr  0.500  0.500  0.500
In  0.750  0.750  0.750
Rh  0.250  0.250  0.250

Output
**Space-group type**: No. 216
**Total magnetization**: 0.000 Bohr magnetons per cell
**Energy of formation from the pure elements**: -39.2 kJ per mole of atoms

---

# 16
DFT (GGA-PBE) results for an optimized crystal structure of NdTmZn2In2.

a = 4.692 Å, b = 4.692 Å, c = 7.369 Å
α = 90.00°, β = 90.00°, γ = 120.00°
Sites, in units of the cell vectors:
Nd  0.000  0.000  0.000
Tm  0.000  0.000  0.500
Zn  0.333  0.667  0.281
Zn  0.667  0.333  0.719
In  0.333  0.667  0.735
In  0.667  0.333  0.265

Output
**Space-group type**: No. 164
**Total magnetization**: 0.000 Bohr magnetons per cell
**Energy of formation from the pure elements**: -42.2 kJ per mole of atoms

---

# 17
DFT (GGA-PBE) results for an optimized crystal structure of Li2ScTlH.

a = 5.287 Å, b = 5.287 Å, c = 3.682 Å
α = 90.00°, β = 90.00°, γ = 90.00°
Sites, in units of the cell vectors:
Li  0.000  0.500  0.000
Li  0.500  0.000  0.000
Sc  0.000  0.000  0.500
Tl  0.500  0.500  0.000
H  0.500  0.500  0.500

Output
**Space-group type**: No. 123
**Total magnetization**: 0.278 Bohr magnetons per cell

---

# 18
DFT (GGA-PBE) results for an optimized crystal structure of Hg3BBr.

a = 6.181 Å, b = 6.181 Å, c = 6.181 Å
α = 90.00°, β = 90.00°, γ = 90.00°
Sites, in units of the cell vectors:
Hg  0.000  0.000  0.500
Hg  0.000  0.500  0.000
Hg  0.500  0.000  0.000
B  0.500  0.500  0.500
Br  0.000  0.000  0.000

Output
**E_form (uncorrected)**: 1.32 eV/atom
**Space-group type**: No. 221
**Total magnetization**: 0.000 Bohr magnetons per cell

---

# 19
DFT (GGA-PBE) results for an optimized crystal structure of CaHoIn.

a = 7.428 Å, b = 7.428 Å, c = 7.428 Å
α = 151.72°, β = 151.72°, γ = 40.42°
Sites, in units of the cell vectors:
Ca  0.000  0.000  0.000
Ho  0.707  0.707  0.000
In  0.346  0.346  0.000

Output
**Space-group type**: No. 107
**Total magnetization**: 0.156 Bohr magnetons per cell
**Energy of formation from the pure elements**: -24.8 kJ per mole of atoms

---

# 20
DFT (GGA-PBE) results for an optimized crystal structure of LaPPtO2.

a = 4.234 Å, b = 4.234 Å, c = 4.557 Å
α = 90.00°, β = 90.00°, γ = 90.00°
Sites, in units of the cell vectors:
La  0.000  0.000  0.000
P  0.500  0.500  0.000
Pt  0.500  0.500  0.500
O  0.000  0.500  0.500
O  0.500  0.000  0.500

Output
**E_form (uncorrected)**: -0.93 eV/atom
**Space-group type**: No. 123
**Total magnetization**: 0.000 Bohr magnetons per cell

---

# 21
DFT (GGA-PBE) results for an optimized crystal structure of SrCd9Au2.

a = 9.437 Å, b = 9.437 Å, c = 3.710 Å
α = 90.00°, β = 90.00°, γ = 120.00°
Sites, in units of the cell vectors:
Sr  0.000  0.000  0.000
Cd  0.000  0.500  0.000
Cd  0.188  0.376  0.500
Cd  0.188  0.812  0.500
Cd  0.376  0.188  0.500
Cd  0.500  0.000  0.000
Cd  0.500  0.500  0.000
Cd  0.624  0.812  0.500
Cd  0.812  0.188  0.500
Cd  0.812  0.624  0.500
Au  0.333  0.667  0.000
Au  0.667  0.333  0.000

Output
**Space-group type**: No. 191
**Total magnetization**: 0.000 Bohr magnetons per cell
**Energy of formation from the pure elements**: -17.8 kJ per mole of atoms

---

# 22
DFT (GGA-PBE) results for an optimized crystal structure of Dy7ThTl4.

a = 7.935 Å, b = 7.935 Å, c = 9.715 Å
α = 118.52°, β = 118.52°, γ = 43.54°
Sites, in units of the cell vectors:
Dy  0.000  0.000  0.000
Dy  0.241  0.241  0.693
Dy  0.300  0.300  0.118
Dy  0.433  0.433  0.599
Dy  0.567  0.567  0.401
Dy  0.700  0.700  0.882
Dy  0.759  0.759  0.307
Th  0.500  0.500  0.000
Tl  0.044  0.044  0.709
Tl  0.189  0.189  0.337
Tl  0.811  0.811  0.663
Tl  0.956  0.956  0.291

Output
**Space-group type**: No. 12
**Total magnetization**: 0.003 Bohr magnetons per cell
**Energy of formation from the pure elements**: 1.3 kJ per mole of atoms

---

# 23
DFT (GGA-PBE) results for an optimized crystal structure of Be2Nb2Ir.

a = 6.142 Å, b = 6.142 Å, c = 3.524 Å
α = 90.00°, β = 90.00°, γ = 90.00°
Sites, in units of the cell vectors:
Be  0.125  0.375  0.000
Be  0.375  0.875  0.000
Be  0.625  0.125  0.000
Be  0.875  0.625  0.000
Nb  0.173  0.673  0.500
Nb  0.327  0.173  0.500
Nb  0.673  0.827  0.500
Nb  0.827  0.327  0.500
Ir  0.000  0.000  0.000
Ir  0.500  0.500  0.000

Output
**Space-group type**: No. 127
**Total magnetization**: 0.000 Bohr magnetons per cell
**Energy of formation from the pure elements**: -45.4 kJ per mole of atoms

---

# 24
DFT (GGA-PBE) results for an optimized crystal structure of GaSeN2O.

a = 3.912 Å, b = 3.912 Å, c = 4.027 Å
α = 90.00°, β = 90.00°, γ = 90.00°
Sites, in units of the cell vectors:
Ga  0.000  0.000  0.000
Se  0.500  0.500  0.000
N  0.000  0.500  0.500
N  0.500  0.000  0.500
O  0.500  0.500  0.500

Output
**E_form (uncorrected)**: 1.89 eV/atom
**Space-group type**: No. 123
**Total magnetization**: 1.498 Bohr magnetons per cell

---

Number 1: uncorrected energy -25.5 eV for the cell shown. Number 2: uncorrected energy -14.9 eV for the cell shown. Number 3: uncorrected energy -16.0 eV for the cell shown. Number 4: uncorrected energy -79.0 eV for the cell shown. Number 5: uncorrected energy -6.4 eV for the cell shown. Number 6: uncorrected energy -10.8 eV for the cell shown. Number 7: uncorrected energy -51.4 eV for the cell shown. Number 8: uncorrected energy -41.1 eV for the cell shown. Number 9: uncorrected energy -56.8 eV for the cell shown. Number 10: uncorrected energy -43.7 eV for the cell shown. Number 11: uncorrected energy -15.2 eV for the cell shown. Number 12: uncorrected energy -21.8 eV for the cell shown. Number 13: uncorrected energy -54.4 eV for the cell shown. Number 14: uncorrected energy -80.2 eV for the cell shown. Number 15: uncorrected energy -21.9 eV for the cell shown. Number 16: uncorrected energy -19.9 eV for the cell shown. Number 17: uncorrected energy -13.6 eV for the cell shown. Number 18: uncorrected energy -2.7 eV for the cell shown. Number 19: uncorrected energy -10.1 eV for the cell shown. Number 20: uncorrected energy -30.9 eV for the cell shown. Number 21: uncorrected energy -18.7 eV for the cell shown. Number 22: uncorrected energy -48.9 eV for the cell shown. Number 23: uncorrected energy -77.6 eV for the cell shown. Number 24: uncorrected energy -18.7 eV for the cell shown.